[1]
A relaxed NaCrCu crystal, computed with PBE.

Cell lengths 8.6513, 5.3051, 4.9512 Å; angles 90.00, 90.00, 90.00 degrees
With the nearest neighbours (Å) after each atom.
Positions (direct):
Cr 0.7687 0.2500 0.4931  2 Cu 2.68, 5 Na 2.83-2.92
Cr 0.2313 0.7500 0.5069  2 Cu 2.68, 5 Na 2.83-2.92
Cr 0.7313 0.7500 0.9931  2 Cu 2.68, 5 Na 2.83-2.92
Cr 0.2687 0.2500 0.0069  2 Cu 2.68, 5 Na 2.83-2.92
Cu 0.0000 0.0000 0.0000  2 Cu 2.65, 2 Cr 2.68, 2 Na 2.94
Cu 0.5000 0.5000 0.5000  2 Cu 2.65, 2 Cr 2.68, 2 Na 2.94
Cu 0.0000 0.5000 0.0000  2 Cu 2.65, 2 Cr 2.68, 2 Na 2.94
Cu 0.5000 0.0000 0.5000  2 Cu 2.65, 2 Cr 2.68, 2 Na 2.94
Na 0.6064 0.2500 0.9958  5 Cr 2.83-2.92, 4 Cu 2.94-2.97
Na 0.3936 0.7500 0.0042  5 Cr 2.83-2.92, 4 Cu 2.94-2.97
Na 0.8936 0.7500 0.4958  5 Cr 2.83-2.92, 4 Cu 2.94-2.97
Na 0.1064 0.2500 0.5042  5 Cr 2.83-2.92, 4 Cu 2.94-2.97

Computed properties:
As for the magnetization: 1.546 μB/atom. As for the formation energy: 0.869 eV/atom. Its space-group type is Pnma. The total energy comes out at -4.14 eV per atom.

[2]
A relaxed Y3Ho3Tm4 crystal, computed with PBE.

Cell lengths 3.6737, 9.2560, 9.2560 Å; angles 89.99, 90.00, 90.00 degrees
With the nearest neighbours (Å) after each atom.
Positions (direct):
Ho 0.5000 0.1725 0.8275  6 Tm 3.21-3.33
Ho 0.0000 0.4997 0.0000  4 Tm 3.64-3.67, 4 Ho 3.67-3.89, 6 Y 3.88-3.89
Ho 0.0000 0.0000 0.5003  4 Tm 3.64-3.67, 4 Ho 3.67-3.89, 6 Y 3.88-3.89
Tm 0.0000 0.8759 0.8737  4 Y 3.22-3.35, 1 Tm 3.28, 2 Ho 3.33
Tm 0.0000 0.1263 0.1241  4 Y 3.22-3.35, 1 Tm 3.28, 2 Ho 3.33
Tm 0.0000 0.3736 0.6264  2 Ho 3.21, 1 Tm 3.29, 4 Y 3.35
Tm 0.0000 0.6251 0.3749  6 Y 3.22-3.34, 1 Tm 3.29
Y 0.5000 0.3269 0.3275  6 Tm 3.22-3.35
Y 0.5000 0.6725 0.6731  6 Tm 3.22-3.35
Y 0.5000 0.8275 0.1725  6 Tm 3.22-3.35

Computed properties:
As for the magnetization: 0.000 μB/atom. As for the formation energy: 0.092 eV/atom. Its space-group type is Amm2. The total energy comes out at -5.01 eV per atom.

[3]
A relaxed Sc4ZnIr2Pt crystal, computed with PBE.

Cell lengths 4.6182, 4.6182, 8.0365 Å; angles 73.30, 73.30, 60.00 degrees
With the nearest neighbours (Å) after each atom.
Positions (direct):
Zn 0.0000 0.0000 0.0000  8 Sc 2.84-2.86
Ir 0.7487 0.7487 0.7539  8 Sc 2.81-2.86
Ir 0.2513 0.2513 0.2461  8 Sc 2.81-2.86
Pt 0.5000 0.5000 0.5000  8 Sc 2.82-2.83
Sc 0.3757 0.3757 0.8729  4 Ir 2.81-2.83, 1 Pt 2.83, 3 Zn 2.84
Sc 0.8743 0.8743 0.3770  3 Pt 2.82, 4 Ir 2.84-2.86, 1 Zn 2.86
Sc 0.1257 0.1257 0.6230  3 Pt 2.82, 4 Ir 2.84-2.86, 1 Zn 2.86
Sc 0.6243 0.6243 0.1271  4 Ir 2.81-2.83, 1 Pt 2.83, 3 Zn 2.84

Computed properties:
As for the magnetization: 0.000 μB/atom. As for the formation energy: -0.935 eV/atom. Its space-group type is R-3m. The total energy comes out at -7.23 eV per atom.

[4]
A relaxed RbHfTi2Tc crystal, computed with PBE.

Cell lengths 4.9217, 5.7054, 4.9217 Å; angles 90.00, 90.00, 90.00 degrees
With the nearest neighbours (Å) after each atom.
Positions (direct):
Ti 0.5000 0.0000 0.0000  2 Hf 2.46
Ti 0.0000 0.0000 0.5000  2 Hf 2.46
Hf 0.0000 0.0000 0.0000  4 Ti 2.46
Tc 0.5000 0.5000 0.5000  4 Rb 3.48, 8 Ti 3.77
Rb 0.0000 0.5000 0.0000  2 Hf 2.85

Computed properties:
As for the magnetization: 0.627 μB/atom. As for the formation energy: 2.128 eV/atom. Its space-group type is P4/mmm. The total energy comes out at -5.29 eV per atom.

[5]
A relaxed CsNdBeSe3 crystal, computed with PBE.

Cell lengths 4.1616, 10.0817, 9.9755 Å; angles 110.98, 90.00, 90.00 degrees
With the nearest neighbours (Å) after each atom.
Positions (direct):
Se 0.2500 0.1188 0.8397  1 Be 2.21
Se 0.2500 0.5318 0.8355  3 Nd 2.93-2.94
Se 0.2500 0.8429 0.4685  3 Be 2.25-2.45
Se 0.7500 0.4682 0.1645  3 Nd 2.93-2.94
Se 0.7500 0.8812 0.1603  1 Be 2.21
Se 0.7500 0.1571 0.5315  3 Be 2.25-2.45
Cs 0.2500 0.2062 0.2396  7 Se 3.65-3.76
Cs 0.7500 0.7938 0.7604  7 Se 3.65-3.76
Be 0.2500 0.0750 0.6067  4 Se 2.21-2.45
Be 0.7500 0.9250 0.3933  4 Se 2.21-2.45
Nd 0.2500 0.6685 0.1491  6 Se 2.93-3.04
Nd 0.7500 0.3315 0.8509  6 Se 2.93-3.04

Computed properties:
As for the magnetization: 0.000 μB/atom. For the uncorrected formation energy, the calculation gives -1.383 eV/atom. Its space-group type is P2_1/m. The total energy comes out at -4.68 eV per atom.

[6]
A relaxed Cd2SnIr crystal, computed with PBE.

Cell lengths 9.1675, 9.1675, 6.9630 Å; angles 48.83, 48.83, 90.00 degrees
With the nearest neighbours (Å) after each atom.
Positions (direct):
Sn 0.5000 0.5000 0.0000  2 Ir 2.54
Sn 0.2500 0.7500 0.5000  2 Ir 2.54
Ir 0.0000 0.0000 0.0000  2 Sn 2.54, 4 Cd 2.70
Ir 0.7500 0.2500 0.5000  2 Sn 2.54, 4 Cd 2.70
Cd 0.7352 0.1250 0.2500  2 Ir 2.70
Cd 0.8750 0.9852 0.7500  2 Ir 2.70
Cd 0.0148 0.6250 0.2500  2 Ir 2.70
Cd 0.3750 0.2648 0.7500  2 Ir 2.70

Computed properties:
As for the magnetization: 0.000 μB/atom. As for the formation energy: 0.217 eV/atom. Its space-group type is I-42d. The total energy comes out at -3.46 eV per atom.